*i*
The following is a GGA-PBEsol calculation of a relaxed structure of NaNiN2, from Alexandria via LeMat-Bulk.

Lattice parameters (Å, degrees): 3.660 3.660 3.660 60.00 60.00 60.00
Fractional positions:
Na 0.000 0.000 0.000
Ni 0.500 0.500 0.500
N 0.750 0.750 0.750
N 0.250 0.250 0.250

The calculation puts the calculated volume at 8.7 Å³/atom.

=====

*ii*
The following is a GGA-PBEsol calculation of a relaxed structure of NaNiN2, from Alexandria via LeMat-Bulk.

Lattice parameters (Å, degrees): 5.063 5.063 5.063 96.06 116.57 116.57
Fractional positions:
N 0.399 0.024 0.125
N 0.899 0.875 0.274
N 0.601 0.726 0.625
N 0.101 0.375 0.976
Ni 0.000 0.000 0.000
Ni 0.500 0.750 0.250
Na 0.500 0.250 0.750
Na 0.000 0.500 0.500

The calculation puts the calculated volume at 12.0 Å³/atom.

=====

Quick one: most stable of them? *ii*

=====

*i*
The following is a GGA-PBEsol calculation of a relaxed structure of NaTiSN2, from Alexandria via LeMat-Bulk.

Lattice parameters (Å, degrees): 3.990 3.990 4.738 90.00 90.00 90.00
Fractional positions:
S 0.000 0.000 0.500
Na 0.000 0.000 0.000
N 0.500 0.000 0.000
N 0.000 0.500 0.000
Ti 0.500 0.500 0.500

The calculation puts the calculated volume at 15.1 Å³/atom.

=====

*ii*
The following is a GGA-PBEsol calculation of a relaxed structure of NaTiSN2, from Alexandria via LeMat-Bulk.

Lattice parameters (Å, degrees): 3.965 3.965 4.794 90.00 90.00 90.00
Fractional positions:
Ti 0.000 0.000 0.000
Na 0.500 0.500 0.500
N 0.000 0.500 0.000
N 0.500 0.000 0.000
S 0.000 0.000 0.500

The calculation puts the calculated volume at 15.1 Å³/atom.

=====

Quick one: most stable of them? *ii*

=====

*i*
The following is a GGA-PBEsol calculation of a relaxed structure of NaWSeN2, from Alexandria via LeMat-Bulk.

Lattice parameters (Å, degrees): 3.919 3.919 5.155 90.00 90.00 90.00
Fractional positions:
Na 0.500 0.500 0.500
W 0.000 0.000 0.000
Se 0.000 0.000 0.500
N 0.500 0.000 0.000
N 0.000 0.500 0.000

The calculation puts the calculated volume at 15.8 Å³/atom.

=====

*ii*
The following is a GGA-PBEsol calculation of a relaxed structure of NaWSeN2, from Alexandria via LeMat-Bulk.

Lattice parameters (Å, degrees): 3.875 3.875 7.107 90.00 90.00 90.00
Fractional positions:
W 0.000 0.000 0.000
Na 0.000 0.000 0.500
N 0.500 0.000 0.000
N 0.000 0.500 0.000
Se 0.500 0.500 0.500

The calculation puts the calculated volume at 21.3 Å³/atom.

=====

Quick one: most stable of them? *i*